{"formula": "Tb7Nd2Ho2", "functional": "PBE", "state": "optimized geometry", "space_group": "C2/m", "cell": [[5.638, -5.766, 0.000], [5.638, 5.766, 0.000], [-2.430, 0.000, 5.590]], "species": ["Tb", "Tb", "Tb", "Tb", "Tb", "Tb", "Tb", "Nd", "Nd", "Ho", "Ho"], "frac_coords": [[0.000, 0.000, 0.000], [0.061, 0.587, 0.821], [0.228, 0.228, 0.581], [0.413, 0.939, 0.179], [0.587, 0.061, 0.821], [0.772, 0.772, 0.419], [0.939, 0.413, 0.179], [0.412, 0.412, 0.195], [0.588, 0.588, 0.805], [0.215, 0.785, 0.500], [0.785, 0.215, 0.500]]}

***

{"formula": "Tb6Nd2Ho", "functional": "PBE", "state": "optimized geometry", "space_group": "C2/c", "cell": [[5.330, -8.904, 0.000], [5.330, 8.904, 0.000], [-0.388, 0.000, 6.178]], "species": ["Tb", "Tb", "Tb", "Tb", "Tb", "Tb", "Tb", "Tb", "Tb", "Tb", "Tb", "Tb", "Nd", "Nd", "Nd", "Nd", "Ho", "Ho"], "frac_coords": [[0.005, 0.826, 0.994], [0.092, 0.577, 0.243], [0.174, 0.995, 0.506], [0.338, 0.492, 0.008], [0.423, 0.908, 0.257], [0.492, 0.338, 0.508], [0.508, 0.662, 0.492], [0.577, 0.092, 0.743], [0.662, 0.508, 0.992], [0.826, 0.005, 0.494], [0.908, 0.423, 0.757], [0.995, 0.174, 0.006], [0.159, 0.336, 0.514], [0.336, 0.159, 0.014], [0.664, 0.841, 0.986], [0.841, 0.664, 0.486], [0.260, 0.740, 0.750], [0.740, 0.260, 0.250]]}

***

Calculated E above lowest polymorph (meV per atom), listed in the same order as above: 0, 0
Calculated formation energy from the elements (meV per atom), listed in the same order as above: 149.0, 109.6